! PBE Cs4K5Cd, relaxed; values from VASP
! * crystal system: tetragonal
! * DOS(E_F): 9.23 states/eV/f.u.
! * E_tot: -0.972 eV/atom
&SYSTEM
  ibrav = 0, nat = 10, ntyp = 3
/
ATOMIC_SPECIES
Cs 132.91 Cs.upf
K 39.10 K.upf
Cd 112.41 Cd.upf
CELL_PARAMETERS angstrom
-7.252 7.252 3.893
7.252 -7.252 3.893
7.252 7.252 -3.893
ATOMIC_POSITIONS angstrom
Cs 4.388 0.000 0.000
Cs 10.116 0.000 0.000
Cs 0.000 4.388 0.000
Cs 0.000 10.116 0.000
K 0.000 0.000 1.538
K 4.825 4.825 0.280
K 2.427 -2.427 4.173
K -2.427 2.427 4.173
K 2.427 2.427 4.173
Cd 0.000 0.000 5.692